First-principles (PBE) data for a geometry-optimized LiNiTe2 structure, as listed in the Alexandria database.

a b c (Å): 3.8010 4.6221 11.4138
angles (deg): 90.00 90.00 90.00
Space group Immm (No. 71)
Inequivalent atoms, fractional coordinates:
Li: 0.0000 0.0000 0.0000 x2
Ni: 0.0000 0.0000 0.5000 x2
Te: 0.0000 0.5000 0.1430 x4

Output
Crystal system: orthorhombic
Volume (Å³/cell): 200.5
Energy relative to the elements, uncorrected (meV per atom): -321



First-principles (PBE) data for a geometry-optimized BC2 structure, as listed in the Alexandria database.

a b c (Å): 8.8330 2.5836 7.5552
angles (deg): 90.00 116.06 90.00
Space group Cm (No. 8)
Inequivalent atoms, fractional coordinates:
B: 0.0000 0.0000 0.0000 x2
B: 0.0288 0.0000 0.5530 x2
B: 0.1706 0.5000 0.8326 x2
B: 0.3025 0.5000 0.2740 x2
C: 0.1598 0.5000 0.3503 x2
C: 0.1674 0.0000 0.4705 x2
C: 0.1753 0.0000 0.9806 x2
C: 0.3329 0.0000 0.6746 x2
C: 0.3349 0.0000 0.1711 x2
C: 0.3367 0.5000 0.7923 x2
C: 0.4867 0.0000 0.6276 x2
C: 0.4986 0.0000 0.1524 x2

Output
Crystal system: monoclinic
Volume (Å³/cell): 154.9
DFT formation energy (meV/atom): 311.3
Polymorph energy (0 for the lowest one) (meV per atom): 71



First-principles (PBE) data for a geometry-optimized BaPa2Pb2O7 structure, as listed in the Alexandria database.

a b c (Å): 4.3605 26.3123 4.3389
angles (deg): 90.00 90.00 90.00
Space group Imm2 (No. 44)
Inequivalent atoms, fractional coordinates:
Ba: 0.0000 0.0000 0.0000 x2
Pa: 0.0000 0.4140 0.9999 x4
Pb: 0.0000 0.2782 0.4038 x4
O: 0.0000 0.0741 0.5002 x4
O: 0.0000 0.3337 0.0141 x4
O: 0.0000 0.4249 0.4990 x4
O: 0.0000 0.5000 0.9994 x2

Output
Crystal system: orthorhombic
Volume (Å³/cell): 497.8
Energy relative to the elements, uncorrected (meV per atom): -2696



First-principles (PBE) data for a geometry-optimized ScSiP2 structure, as listed in the Alexandria database.

a b c (Å): 5.4279 6.9805 3.4948
angles (deg): 90.00 99.64 90.00
Space group C2/m (No. 12)
Inequivalent atoms, fractional coordinates:
Sc: 0.0000 0.0000 0.0000 x2
Si: 0.0000 0.5000 0.0000 x2
P: 0.2500 0.2500 0.5000 x4

Output
Crystal system: monoclinic
Volume (Å³/cell): 130.5
Energy relative to the elements, uncorrected (meV per atom): -295